[1]
A relaxed structure of DyHfTa4, computed with PBE.

Calculated values
Calculated formation energy in meV/atom: 200.8
V in Å³/atom: 20.96

Cell lengths 5.623, 5.623, 5.623 Å; angles 60.00, 60.00, 60.00 degrees
Fractional coordinates of all 6 atoms:
Ta  0.125  0.625  0.625
Ta  0.625  0.625  0.125
Ta  0.625  0.625  0.625
Ta  0.625  0.125  0.625
Dy  0.250  0.250  0.250
Hf  0.000  0.000  0.000

***

[2]
A relaxed structure of DyHfTa, computed with PBE.

Calculated values
Calculated formation energy in meV/atom: 282.7
V in Å³/atom: 23.61

Cell lengths 3.275, 3.275, 15.371 Å; angles 83.88, 83.88, 60.00 degrees
Fractional coordinates of all 6 atoms:
Hf  0.906  0.906  0.283
Hf  0.094  0.094  0.717
Dy  0.632  0.632  0.103
Dy  0.368  0.368  0.897
Ta  0.189  0.189  0.433
Ta  0.811  0.811  0.567

***

[3]
A relaxed structure of DyHf2Ta, computed with PBE.

Calculated values
Calculated formation energy in meV/atom: 169.3
V in Å³/atom: 23.35
Distance to the lowest polymorph of the same formula in kcal/mol of atoms: 0.00

Cell lengths 3.538, 3.538, 7.461 Å; angles 90.00, 90.00, 90.00 degrees
Fractional coordinates of all 4 atoms:
Dy  0.500  0.500  0.500
Hf  0.000  0.000  0.204
Hf  0.000  0.000  0.796
Ta  0.500  0.500  0.000

***

| no. | magnetic moment (μB/f.u.) |
| --- | --- |
| 1 | 0.00 |
| 2 | 0.00 |
| 3 | 0.00 |